# 1
Entry from Alexandria via LeMat-Bulk: a relaxed structure of KCoCu2Au (PBE).

Values from the calculation:
* SG: P4/mmm (123)
* E_tot: -0.0721 hartree per atom
* energy of formation: 1.97 eV/atom
* volume: 130 Å³ per cell

Cell: 4.897 4.897 5.420 Å, 90.00 90.00 90.00°
Atoms (fractional coordinates):
K 0.000 0.000 0.000
Co 0.500 0.500 0.500
Cu 0.000 0.500 0.000
Cu 0.500 0.000 0.000
Au 0.000 0.000 0.500

# 2
Entry from Alexandria via LeMat-Bulk: a relaxed structure of Rb2MoSeI6 (PBE).

Values from the calculation:
* raw formation energy: -0.4764 eV per atom
* SG: I4/mmm (139)
* E_tot: -0.1114 hartree per atom
* volume: 444 Å³ per cell

Cell: 8.416 8.416 8.416 Å, 115.84 115.84 97.37°
Atoms (fractional coordinates):
Rb 0.250 0.750 0.500
Rb 0.750 0.250 0.500
Mo 0.000 0.000 0.000
Se 0.500 0.500 0.000
I 0.222 0.222 0.445
I 0.222 0.778 0.000
I 0.254 0.254 0.000
I 0.746 0.746 0.000
I 0.778 0.222 0.000
I 0.778 0.778 0.555

# 3
Entry from Alexandria via LeMat-Bulk: a relaxed structure of Tc2AgOs (PBE).

Values from the calculation:
* SG: Pm (6)
* E_tot: -0.3046 hartree per atom
* energy of formation: 0.41 eV/atom
* volume: 61 Å³ per cell

Cell: 2.752 3.953 5.640 Å, 90.00 90.01 90.00°
Atoms (fractional coordinates):
Tc 0.000 0.000 0.000
Tc 0.497 0.500 0.228
Ag 0.998 0.000 0.504
Os 0.499 0.500 0.786

# 4
Entry from Alexandria via LeMat-Bulk: a relaxed structure of Th3TlCo (PBE).

Values from the calculation:
* SG: C2/m (12)
* E_tot: -0.2386 hartree per atom
* energy of formation: -0.15 eV/atom
* volume: 277 Å³ per cell

Cell: 6.198 6.198 8.896 Å, 112.26 112.26 65.41°
Atoms (fractional coordinates):
Th 0.032 0.032 0.214
Th 0.302 0.302 0.697
Th 0.315 0.315 0.113
Th 0.685 0.685 0.887
Th 0.698 0.698 0.303
Th 0.968 0.968 0.786
Tl 0.278 0.722 0.500
Tl 0.722 0.278 0.500
Co 0.298 0.702 0.000
Co 0.702 0.298 0.000

# 5
Entry from Alexandria via LeMat-Bulk: a relaxed structure of Ga2CuHgTe4 (PBE).

Values from the calculation:
* raw formation energy: -0.1989 eV per atom
* SG: Fmm2 (42)
* E_tot: -0.1130 hartree per atom
* volume: 255 Å³ per cell

Cell: 7.706 7.606 6.444 Å, 65.92 64.31 49.77°
Atoms (fractional coordinates):
Ga 0.000 0.000 0.500
Ga 0.500 0.500 0.000
Cu 0.247 0.247 0.753
Hg 0.749 0.749 0.251
Te 0.137 0.600 0.400
Te 0.351 0.887 0.649
Te 0.600 0.137 0.863
Te 0.887 0.351 0.113

# 6
Entry from Alexandria via LeMat-Bulk: a relaxed structure of La5In6 (PBE).

Values from the calculation:
* SG: C2/m (12)
* E_tot: -0.1519 hartree per atom
* energy of formation: -0.40 eV/atom
* volume: 345 Å³ per cell

Cell: 9.451 9.451 5.464 Å, 106.79 106.79 120.04°
Atoms (fractional coordinates):
La 0.000 0.000 0.000
La 0.158 0.842 0.500
La 0.313 0.687 0.000
La 0.687 0.313 0.000
La 0.842 0.158 0.500
In 0.138 0.432 0.285
In 0.301 0.301 0.800
In 0.432 0.138 0.285
In 0.568 0.862 0.715
In 0.699 0.699 0.200
In 0.862 0.568 0.715

# 7
Entry from Alexandria via LeMat-Bulk: a relaxed structure of MnCoRu (PBE).

Values from the calculation:
* SG: Fmm2 (42)
* E_tot: -0.3027 hartree per atom
* energy of formation: 0.28 eV/atom
* volume: 38 Å³ per cell

Cell: 6.581 6.379 2.588 Å, 82.90 74.14 22.97°
Atoms (fractional coordinates):
Mn 0.000 0.000 0.000
Co 0.344 0.344 0.656
Ru 0.670 0.670 0.330

# 8
Entry from Alexandria via LeMat-Bulk: a relaxed structure of PuBiRu (PBE).

Values from the calculation:
* SG: Cmcm (63)
* E_tot: -0.3425 hartree per atom
* energy of formation: -0.16 eV/atom
* volume: 135 Å³ per cell

Cell: 6.774 6.774 4.652 Å, 90.00 90.00 140.81°
Atoms (fractional coordinates):
Pu 0.110 0.890 0.750
Pu 0.890 0.110 0.250
Bi 0.391 0.609 0.750
Bi 0.609 0.391 0.250
Ru 0.250 0.750 0.250
Ru 0.750 0.250 0.750

# 9
Entry from Alexandria via LeMat-Bulk: a relaxed structure of HgTeW2 (PBE).

Values from the calculation:
* raw formation energy: 1.1009 eV per atom
* SG: I-42d (122)
* E_tot: -0.2292 hartree per atom
* volume: 170 Å³ per cell

Cell: 10.405 10.405 10.405 Å, 157.14 157.14 32.56°
Atoms (fractional coordinates):
Hg 0.000 0.000 0.000
Hg 0.750 0.250 0.500
Te 0.250 0.750 0.500
Te 0.500 0.500 0.000
W 0.069 0.625 0.944
W 0.375 0.319 0.444
W 0.681 0.125 0.056
W 0.875 0.931 0.556

# 10
Entry from Alexandria via LeMat-Bulk: a relaxed structure of LiCrAg2 (PBE).

Values from the calculation:
* SG: Fm-3m (225)
* E_tot: -0.1383 hartree per atom
* energy of formation: 0.55 eV/atom
* volume: 62 Å³ per cell

Cell: 4.447 4.447 4.447 Å, 60.00 60.00 60.00°
Atoms (fractional coordinates):
Li 0.000 0.000 0.000
Cr 0.500 0.500 0.500
Ag 0.250 0.250 0.250
Ag 0.750 0.750 0.750

# 11
Entry from Alexandria via LeMat-Bulk: a relaxed structure of CaUSe3 (PBE).

Values from the calculation:
* raw formation energy: -1.3179 eV per atom
* SG: C2/m (12)
* E_tot: -0.2229 hartree per atom
* volume: 322 Å³ per cell

Cell: 7.896 7.896 8.382 Å, 96.98 96.98 38.41°
Atoms (fractional coordinates):
Ca 0.144 0.144 0.362
Ca 0.856 0.856 0.638
U 0.370 0.370 0.088
U 0.630 0.630 0.912
Se 0.172 0.172 0.006
Se 0.336 0.336 0.406
Se 0.445 0.445 0.791
Se 0.555 0.555 0.209
Se 0.664 0.664 0.594
Se 0.828 0.828 0.994

# 12
Entry from Alexandria via LeMat-Bulk: a relaxed structure of Co2CuSi (PBE).

Values from the calculation:
* raw formation energy: -0.1331 eV per atom
* SG: Cm (8)
* E_tot: -0.2229 hartree per atom
* volume: 44 Å³ per cell

Cell: 4.643 4.643 4.150 Å, 112.57 112.57 32.60°
Atoms (fractional coordinates):
Co 0.000 0.000 0.000
Co 0.242 0.242 0.609
Cu 0.486 0.486 0.485
Si 0.738 0.738 0.097

# 13
Entry from Alexandria via LeMat-Bulk: a relaxed structure of LaTcSn2Te (PBE).

Values from the calculation:
* raw formation energy: 1.0399 eV per atom
* SG: P4/mmm (123)
* E_tot: -0.1561 hartree per atom
* volume: 194 Å³ per cell

Cell: 5.758 5.758 5.867 Å, 90.00 90.00 90.00°
Atoms (fractional coordinates):
La 0.000 0.000 0.000
Tc 0.500 0.500 0.000
Sn 0.000 0.500 0.500
Sn 0.500 0.000 0.500
Te 0.000 0.000 0.500

# 14
Entry from Alexandria via LeMat-Bulk: a relaxed structure of Ga2Ge4Ru (PBE).

Values from the calculation:
* SG: I4/mmm (139)
* E_tot: -0.1648 hartree per atom
* energy of formation: 0.34 eV/atom
* volume: 157 Å³ per cell

Cell: 7.733 7.733 7.733 Å, 144.25 144.25 51.46°
Atoms (fractional coordinates):
Ga 0.138 0.138 0.000
Ga 0.862 0.862 0.000
Ge 0.000 0.500 0.500
Ge 0.318 0.318 0.000
Ge 0.500 0.000 0.500
Ge 0.682 0.682 0.000
Ru 0.500 0.500 0.000

# 15
Entry from Alexandria via LeMat-Bulk: a relaxed structure of ZnCdRe2 (PBE).

Values from the calculation:
* SG: R3m (160)
* E_tot: -0.2428 hartree per atom
* energy of formation: 0.16 eV/atom
* volume: 66 Å³ per cell

Cell: 9.736 9.736 9.736 Å, 16.68 16.68 16.68°
Atoms (fractional coordinates):
Zn 0.000 0.000 0.000
Cd 0.761 0.761 0.761
Re 0.256 0.256 0.256
Re 0.517 0.517 0.517

# 16
Entry from Alexandria via LeMat-Bulk: a relaxed structure of LiErPuFe (PBE).

Values from the calculation:
* SG: F-43m (216)
* E_tot: -0.2627 hartree per atom
* energy of formation: 0.17 eV/atom
* volume: 79 Å³ per cell

Cell: 4.825 4.825 4.825 Å, 60.00 60.00 60.00°
Atoms (fractional coordinates):
Li 0.000 0.000 0.000
Er 0.250 0.250 0.250
Pu 0.750 0.750 0.750
Fe 0.500 0.500 0.500

# 17
Entry from Alexandria via LeMat-Bulk: a relaxed structure of TbThAgPb (PBE).

Values from the calculation:
* SG: F-43m (216)
* E_tot: -0.1796 hartree per atom
* energy of formation: -0.24 eV/atom
* volume: 110 Å³ per cell

Cell: 5.376 5.376 5.376 Å, 60.00 60.00 60.00°
Atoms (fractional coordinates):
Tb 0.000 0.000 0.000
Th 0.500 0.500 0.500
Ag 0.250 0.250 0.250
Pb 0.750 0.750 0.750

# 18
Entry from Alexandria via LeMat-Bulk: a relaxed structure of Y3PaSb4 (PBE).

Values from the calculation:
* raw formation energy: -0.9830 eV per atom
* SG: Cmmm (65)
* E_tot: -0.2446 hartree per atom
* volume: 238 Å³ per cell

Cell: 7.592 7.592 4.383 Å, 90.00 90.00 109.36°
Atoms (fractional coordinates):
Y 0.000 0.000 0.000
Y 0.000 0.500 0.500
Y 0.500 0.000 0.500
Pa 0.500 0.500 0.000
Sb 0.250 0.250 0.500
Sb 0.251 0.749 0.000
Sb 0.749 0.251 0.000
Sb 0.750 0.750 0.500

# 19
Entry from Alexandria via LeMat-Bulk: a relaxed structure of TlIn2Hg (PBE).

Values from the calculation:
* SG: R3m (160)
* E_tot: -0.0739 hartree per atom
* energy of formation: 0.02 eV/atom
* volume: 111 Å³ per cell

Cell: 11.239 11.239 11.239 Å, 17.42 17.42 17.42°
Atoms (fractional coordinates):
Tl 0.000 0.000 0.000
In 0.579 0.579 0.579
In 0.754 0.754 0.754
Hg 0.167 0.167 0.167

# 20
Entry from Alexandria via LeMat-Bulk: a relaxed structure of KBe2Tc (PBE).

Values from the calculation:
* SG: F-43m (216)
* E_tot: -0.1165 hartree per atom
* energy of formation: 1.56 eV/atom
* volume: 61 Å³ per cell

Cell: 4.408 4.408 4.408 Å, 60.00 60.00 60.00°
Atoms (fractional coordinates):
K 0.000 0.000 0.000
Be 0.250 0.250 0.250
Be 0.500 0.500 0.500
Tc 0.750 0.750 0.750